1.
VASP calculation (PBEsol) on an optimized crystal structure of CaHfAlW2.

Values from the calculation:
As for the symmetry: P4/mmm (123). As for the total energy: -0.250 Ha/atom. As for the crystal system: tetragonal. The calculation puts the volume at 120 Å³/f.u. The calculation puts the theoretical density at 8.461 g cm⁻³. The formation energy from the elements is 2.069 eV per atom. As for the total magnetization: 0.00 μB per formula unit.

Lattice parameters (Å, degrees): 4.7867 4.7867 5.2523 90.00 90.00 90.00
Closest atoms and distances in Å follow each position.
Positions (direct):
1 W 0.0000 0.5000 0.0000  2 Hf 2.39
2 Hf 0.0000 0.0000 0.0000  4 W 2.39, 2 Ca 2.63
3 W 0.5000 0.0000 0.0000  2 Hf 2.39
4 Ca 0.0000 0.0000 0.5000  2 Hf 2.63
5 Al 0.5000 0.5000 0.5000  4 Ca 3.38, 8 W 3.55

---

2.
VASP calculation (PBEsol) on an optimized crystal structure of FePOs.

Values from the calculation:
As for the symmetry: P-6m2 (187). As for the total energy: -0.333 Ha/atom. As for the crystal system: hexagonal. The calculation puts the volume at 38 Å³/f.u. The calculation puts the theoretical density at 12.143 g cm⁻³. The formation energy from the elements is -0.060 eV per atom. As for the total magnetization: 2.47 μB per formula unit.

Lattice parameters (Å, degrees): 2.7863 3.9625 3.9625 120.00 90.00 90.00
Closest atoms and distances in Å follow each position.
Positions (direct):
1 P 0.5001 0.6667 0.3333  3 Os 2.29
2 Fe 0.9999 0.0000 0.0000  6 P 2.68, 6 Os 2.68, 2 Fe 2.79
3 Os 0.5000 0.3333 0.6667  3 P 2.29

---

3.
VASP calculation (PBEsol) on an optimized crystal structure of Li4MoPt.

Values from the calculation:
As for the symmetry: F-43m (216). As for the total energy: -0.153 Ha/atom. As for the crystal system: cubic. The calculation puts the volume at 75 Å³/f.u. The calculation puts the theoretical density at 7.019 g cm⁻³. The formation energy from the elements is 0.265 eV per atom. As for the total magnetization: 2.01 μB per formula unit.

Lattice parameters (Å, degrees): 4.7425 4.7425 4.7425 60.00 60.00 60.00
Closest atoms and distances in Å follow each position.
Positions (direct):
1 Li 0.8788 0.3737 0.3737  6 Li 2.35-2.40
2 Pt 0.0000 0.0000 0.0000  12 Li 2.78, 4 Mo 2.90
3 Li 0.3737 0.8788 0.3737  6 Li 2.35-2.40
4 Li 0.3737 0.3737 0.3737  6 Li 2.35-2.40
5 Mo 0.7500 0.7500 0.7500  12 Li 2.78, 4 Pt 2.90
6 Li 0.3737 0.3737 0.8788  6 Li 2.35-2.40

---

4.
VASP calculation (PBEsol) on an optimized crystal structure of ZnInTe2.

Values from the calculation:
As for the symmetry: R-3m (166). As for the total energy: -0.106 Ha/atom. As for the crystal system: trigonal. The calculation puts the volume at 144 Å³/f.u. The value obtained for the uncorrected formation energy is 0.03 eV per atom. The calculation puts the theoretical density at 5.018 g cm⁻³. As for the total magnetization: 0.00 μB per formula unit.

Lattice parameters (Å, degrees): 4.5446 4.5446 8.4729 74.44 74.44 60.00
Closest atoms and distances in Å follow each position.
Positions (direct):
1 Te 0.1013 0.1013 0.6960  1 Zn 2.45
2 Te 0.8987 0.8987 0.3040  1 Zn 2.45
3 In 0.5000 0.5000 0.5000  6 Te 3.06
4 Zn 0.0000 0.0000 0.0000  2 Te 2.45